Record 1
The following is a PBE calculation of Ca3P3Rh2 after structural relaxation, from Alexandria.

Geometry as POSCAR:
```
Ca3P3Rh2
1.0
-5.703 -1.104 1.031
1.420 -7.588 -0.270
2.475 -0.022 13.662
Rh Ca P
8 12 12
Cartesian
-2.714 -1.781 13.481
1.752 -6.941 5.608
0.907 -6.933 0.943
-3.559 -1.773 8.816
-0.286 -5.242 13.035
-1.522 -3.472 1.389
-1.131 -5.234 8.370
-0.677 -3.480 6.053
-1.255 -3.102 10.805
1.418 -3.655 8.370
0.172 -1.540 3.494
-0.552 -5.612 3.619
-1.979 -7.174 10.930
-2.585 -1.004 5.945
-3.910 -5.053 2.277
1.462 -7.717 12.256
0.778 -7.710 8.479
-3.269 -0.997 2.168
-3.226 -5.059 6.054
2.103 -3.661 12.147
-0.307 -1.623 0.771
1.621 -1.375 10.287
-3.428 -7.339 4.137
-1.766 -3.012 8.089
-0.042 -5.702 6.335
0.679 -1.631 6.211
-0.780 -3.020 13.529
0.425 -5.537 10.497
-1.027 -5.693 0.895
-2.232 -3.177 3.927
-1.501 -7.091 13.653
-2.486 -7.082 8.212
```

Output
Total magnetization ... 0.000 μB per cell
Symmetry ... No. 62
Offset from the most stable computed form ... 18.0 meV/atom
Energy of formation from the pure elements ... -7.74 eV per formula unit

***

Record 2
The following is a PBE calculation of Tb3B2Pt9Au after structural relaxation, from Alexandria.

Geometry as POSCAR:
```
Tb3B2Pt9Au
1.0
-2.602 -2.967 -4.143
5.636 0.948 -0.268
1.593 -8.112 4.810
Pt Tb B Au
9 3 2 1
Cartesian
-0.091 -8.199 -0.020
3.402 -3.433 -1.676
1.517 -1.010 -2.205
2.760 -7.720 -0.155
2.818 0.474 -0.134
1.225 -6.698 2.076
1.867 -2.411 0.555
4.718 -1.932 0.419
-1.301 -1.484 -2.071
0.000 0.000 0.000
3.863 -5.312 1.379
0.764 -4.819 -0.979
1.506 -8.597 1.261
3.121 -1.534 -0.861
0.796 -4.056 2.405
```

Output
Total magnetization ... 0.000 μB per cell
Symmetry ... No. 164
Energy of formation from the pure elements ... -11.70 eV per formula unit

***

Record 3
The following is a PBE calculation of NaHfBr2 after structural relaxation, from Alexandria.

Geometry as POSCAR:
```
NaHfBr2
1.0
1.475 0.428 4.730
-1.687 3.746 2.802
-3.203 -0.905 3.695
Hf Br Na
1 2 1
Cartesian
-1.708 1.635 5.613
-0.854 0.817 2.807
-2.562 2.452 8.420
0.000 0.000 0.000
```

Output
Total magnetization ... 1.159 μB per cell
Symmetry ... No. 225
Offset from the most stable computed form ... 525.2 meV/atom
Formation energy without anion corrections ... -176 meV per atom

***

Record 4
The following is a PBE calculation of HfTlCl2 after structural relaxation, from Alexandria.

Geometry as POSCAR:
```
HfTlCl2
1.0
2.001 -4.396 -1.155
-2.870 -3.646 -1.769
0.388 -1.379 -4.755
Cl Tl Hf
2 1 1
Cartesian
-0.120 -2.355 -1.920
-0.361 -7.066 -5.760
-0.241 -4.711 -3.840
0.000 0.000 0.000
```

Output
Total magnetization ... 0.000 μB per cell
Symmetry ... No. 225
Offset from the most stable computed form ... 900.4 meV/atom
Formation energy without anion corrections ... -61 meV per atom

***

Record 5
The following is a PBE calculation of TcGeF2 after structural relaxation, from Alexandria.

Geometry as POSCAR:
```
TcGeF2
1.0
7.140 -2.864 2.940
8.092 -1.174 0.988
7.463 -0.185 3.478
Ge Tc F
1 1 2
Cartesian
11.347 -2.111 3.703
0.000 0.000 0.000
20.815 -3.872 6.792
1.880 -0.350 0.613
```

Output
Total magnetization ... 0.000 μB per cell
Symmetry ... No. 166
Offset from the most stable computed form ... 0.0 meV/atom
Formation energy without anion corrections ... -935 meV per atom

***

Record 6
The following is a PBE calculation of PrYEr3 after structural relaxation, from Alexandria.

Geometry as POSCAR:
```
PrYEr3
1.0
3.646 -0.002 0.000
-1.823 8.382 0.000
0.000 0.000 11.529
Er Y Pr
6 2 2
Cartesian
-0.913 6.797 0.029
0.912 1.749 8.647
2.736 1.583 11.499
-0.913 6.797 5.735
2.736 1.583 5.794
0.911 6.631 2.882
-0.911 4.494 8.647
2.734 3.886 2.882
0.911 0.952 2.882
0.912 7.428 8.647
```

Output
Total magnetization ... 0.001 μB per cell
Symmetry ... No. 63
Offset from the most stable computed form ... 323.7 meV/atom
Energy of formation from the pure elements ... 1.68 eV per formula unit

***

Record 7
The following is a PBE calculation of SrZnCr after structural relaxation, from Alexandria.

Geometry as POSCAR:
```
SrZnCr
1.0
-2.738 -4.311 -1.102
2.481 -4.405 -1.314
0.061 -4.048 3.302
Sr Cr Zn
1 1 1
Cartesian
-0.147 -9.573 0.664
-0.098 -6.382 0.443
0.000 0.000 0.000
```

Output
Total magnetization ... 4.913 μB per cell
Symmetry ... No. 216
Offset from the most stable computed form ... 596.9 meV/atom
Energy of formation from the pure elements ... 2.83 eV per formula unit

***

Record 8
The following is a PBE calculation of Rb2Pd2I5 after structural relaxation, from Alexandria.

Geometry as POSCAR:
```
Rb2Pd2I5
1.0
5.304 0.000 0.000
-2.652 7.575 0.283
0.000 -0.810 9.060
Pd I Rb
2 5 2
Cartesian
2.652 4.673 1.379
0.000 2.092 7.964
0.000 0.000 0.000
0.000 3.982 1.354
0.000 1.325 5.413
2.652 2.782 7.989
2.652 5.440 3.931
0.000 5.885 6.811
2.652 0.880 2.532
```

Output
Total magnetization ... 0.000 μB per cell
Symmetry ... No. 12
Formation energy without anion corrections ... -697 meV per atom

***

Record 9
The following is a PBE calculation of MgTa2CoAs after structural relaxation, from Alexandria.

Geometry as POSCAR:
```
MgTa2CoAs
1.0
4.753 0.000 0.000
0.000 4.646 0.000
0.000 0.000 4.753
Mg As Ta Co
1 1 2 1
Cartesian
0.000 2.323 0.000
0.000 0.000 0.000
0.000 0.000 2.376
2.376 0.000 0.000
2.376 2.323 2.376
```

Output
Total magnetization ... 1.914 μB per cell
Symmetry ... No. 123
Offset from the most stable computed form ... 440.9 meV/atom
Energy of formation from the pure elements ... 5.45 eV per formula unit

***

Record 10
The following is a PBE calculation of NaGa2IrO8 after structural relaxation, from Alexandria.

Geometry as POSCAR:
```
NaGa2IrO8
1.0
4.872 -0.025 -0.003
0.002 4.270 -0.004
0.004 0.007 6.336
O Ga Na Ir
8 2 1 1
Cartesian
4.164 1.105 5.009
0.718 3.152 5.010
2.708 3.246 3.163
0.714 3.147 1.320
4.160 1.100 1.319
2.170 1.006 3.166
1.657 1.074 -0.002
3.221 3.178 6.331
2.440 2.128 4.776
2.438 2.124 1.553
0.002 0.004 3.168
0.000 0.000 0.000
```

Output
Total magnetization ... 0.007 μB per cell
Symmetry ... No. 10
Formation energy without anion corrections ... -958 meV per atom

***

Record 11
The following is a PBE calculation of LaMnBe2Ni after structural relaxation, from Alexandria.

Geometry as POSCAR:
```
LaMnBe2Ni
1.0
-3.834 3.162 -0.084
-0.851 -0.911 4.518
3.032 3.711 1.319
La Be Ni Mn
1 2 1 1
Cartesian
0.000 0.000 0.000
1.516 1.855 0.660
-1.917 1.581 -0.042
-0.425 -0.456 2.259
-0.826 2.981 2.877
```

Output
Total magnetization ... 4.451 μB per cell
Symmetry ... No. 123
Energy of formation from the pure elements ... 9.11 eV per formula unit

***

Record 12
The following is a PBE calculation of RbPb2 after structural relaxation, from Alexandria.

Geometry as POSCAR:
```
RbPb2
1.0
3.959 0.000 0.000
0.000 3.959 0.000
-1.980 -1.980 7.268
Pb Rb
2 1
Cartesian
0.000 0.000 4.497
1.980 1.980 2.771
0.000 0.000 0.000
```

Output
Total magnetization ... 0.000 μB per cell
Symmetry ... No. 139
Energy of formation from the pure elements ... -0.28 eV per formula unit

***

Record 13
The following is a PBE calculation of Tl2TeBr after structural relaxation, from Alexandria.

Geometry as POSCAR:
```
Tl2TeBr
1.0
-4.633 0.044 0.757
-2.894 -1.952 -3.139
-1.962 -7.217 2.822
Tl Te Br
2 1 1
Cartesian
-7.514 -2.001 -2.328
-4.758 -4.469 0.166
-2.372 -2.281 0.110
-7.117 -6.843 0.330
```

Output
Total magnetization ... 0.000 μB per cell
Symmetry ... No. 12
Offset from the most stable computed form ... 63.2 meV/atom
Formation energy without anion corrections ... -420 meV per atom

***

Record 14
The following is a PBE calculation of CoHgRu after structural relaxation, from Alexandria.

Geometry as POSCAR:
```
CoHgRu
1.0
-5.756 -0.564 -1.640
-4.342 -1.954 -3.670
-0.784 -2.474 1.148
Ru Co Hg
1 1 1
Cartesian
-6.791 -2.502 -3.017
-0.940 -2.475 1.040
-3.935 -2.489 -1.037
```

Output
Total magnetization ... 1.562 μB per cell
Symmetry ... No. 107
Offset from the most stable computed form ... 0.0 meV/atom
Energy of formation from the pure elements ... 1.19 eV per formula unit

***

Record 15
The following is a PBE calculation of PuSeCl3 after structural relaxation, from Alexandria.

Geometry as POSCAR:
```
PuSeCl3
1.0
-1.374 2.145 6.312
3.841 -4.015 3.930
6.113 5.366 -0.493
Cl Se Pu
6 2 2
Cartesian
3.455 0.646 9.140
1.807 2.069 4.208
6.511 3.329 8.894
2.425 -1.537 6.276
4.212 2.108 0.760
4.864 4.753 3.961
1.126 -0.553 0.887
5.510 1.124 6.149
2.999 -1.972 8.659
6.105 0.673 8.620
```

Output
Total magnetization ... 6.000 μB per cell
Symmetry ... No. 63
Formation energy without anion corrections ... -1236 meV per atom

***

Record 16
The following is a PBE calculation of Nd5YPt4 after structural relaxation, from Alexandria.

Geometry as POSCAR:
```
Nd5YPt4
1.0
-3.024 2.928 -0.131
-0.421 -0.797 -8.084
-4.406 -7.423 3.502
Nd Pt Y
5 4 1
Cartesian
-1.723 1.065 -4.108
-5.745 -3.040 -3.031
-2.331 -2.669 -5.813
-2.107 -2.251 -1.682
-5.520 -2.623 1.100
-7.728 -5.073 -2.687
-4.281 -4.642 -4.916
-3.571 -0.650 0.203
-0.124 -0.219 -2.026
-1.512 1.464 -0.066
```

Output
Total magnetization ... 0.000 μB per cell
Symmetry ... No. 12
Energy of formation from the pure elements ... -8.61 eV per formula unit

***

Record 17
The following is a PBE calculation of Th2GaFe3Ni12 after structural relaxation, from Alexandria.

Geometry as POSCAR:
```
Th2GaFe3Ni12
1.0
-3.635 -1.186 -5.027
-5.223 -1.555 3.192
-2.775 5.667 -0.282
Ni Fe Th Ga
12 3 2 1
Cartesian
-6.436 0.682 -3.118
-6.559 3.173 -3.394
-5.581 -0.812 -1.115
-3.774 3.589 -0.568
-7.860 -0.663 -1.548
-7.403 2.977 0.972
-4.231 -0.052 -3.089
-7.144 0.517 0.548
-4.490 2.408 -2.664
-6.052 3.738 -1.002
-5.075 -0.248 1.277
-5.198 2.244 1.001
-1.818 -0.593 -2.514
-1.388 2.833 -0.141
-2.612 -0.777 1.596
-3.410 0.858 -0.620
-8.224 2.068 -1.496
0.000 0.000 0.000
```

Output
Total magnetization ... 9.831 μB per cell
Symmetry ... No. 166
Energy of formation from the pure elements ... -0.54 eV per formula unit

***

Record 18
The following is a PBE calculation of Ca2AcIrAu after structural relaxation, from Alexandria.

Geometry as POSCAR:
```
Ca2AcIrAu
1.0
-0.648 2.086 4.955
2.672 -4.206 2.120
5.005 2.895 -0.565
Ac Ca Au Ir
1 2 1 1
Cartesian
5.096 -2.804 1.847
7.095 -0.416 4.062
6.083 0.643 0.524
4.117 0.736 3.187
4.999 2.892 -0.564
```

Output
Total magnetization ... 0.000 μB per cell
Symmetry ... No. 99
Energy of formation from the pure elements ... -1.82 eV per formula unit

***

Record 19
The following is a PBE calculation of CaPaCd after structural relaxation, from Alexandria.

Geometry as POSCAR:
```
CaPaCd
1.0
3.330 0.000 0.000
0.000 5.375 0.000
-1.665 0.000 9.089
Pa Cd Ca
2 2 2
Cartesian
0.000 4.031 4.528
1.665 1.344 4.561
1.665 4.031 1.786
0.000 1.344 7.303
1.665 4.031 7.865
0.000 1.344 1.224
```

Output
Total magnetization ... 0.001 μB per cell
Symmetry ... No. 63
Energy of formation from the pure elements ... -0.01 eV per formula unit

***

Record 20
The following is a PBE calculation of Tb4CeNd10 after structural relaxation, from Alexandria.

Geometry as POSCAR:
```
Tb4CeNd10
1.0
9.777 0.000 4.415
4.889 6.976 2.207
2.018 0.000 8.566
Nd Tb Ce
10 4 1
Cartesian
5.482 0.660 4.982
10.786 3.488 8.698
2.415 0.660 3.598
5.644 2.285 9.479
11.039 4.691 5.708
7.973 4.691 4.324
8.711 2.285 10.864
14.269 6.317 11.590
5.898 3.488 6.490
11.202 6.317 10.206
12.577 2.706 11.250
8.664 1.899 6.881
8.020 5.077 8.307
4.107 4.270 3.938
0.000 0.000 0.000
```

Output
Total magnetization ... 1.132 μB per cell
Symmetry ... No. 87
Energy of formation from the pure elements ... 4.75 eV per formula unit

***

Record 21
The following is a PBE calculation of Dy6C2N3O after structural relaxation, from Alexandria.

Geometry as POSCAR:
```
Dy6C2N3O
1.0
3.482 0.000 0.000
0.000 7.035 0.253
-1.741 -2.028 7.404
Dy O C N
6 1 2 3
Cartesian
0.000 5.226 0.188
1.741 -0.220 7.469
0.000 5.125 5.159
0.000 1.550 5.043
1.741 -0.119 2.498
1.741 3.456 2.614
1.741 0.000 0.000
1.741 3.366 5.152
0.000 1.641 2.505
1.741 3.517 0.126
0.000 5.212 2.640
1.741 -0.205 5.017
```

Output
Total magnetization ... 0.000 μB per cell
Symmetry ... No. 12
Formation energy without anion corrections ... -1408 meV per atom

***

Record 22
The following is a PBE calculation of Li2TbDy2Ga2 after structural relaxation, from Alexandria.

Geometry as POSCAR:
```
Li2TbDy2Ga2
1.0
-1.559 2.435 3.579
-4.195 -0.832 1.696
1.478 -5.374 7.259
Li Dy Ga Tb
2 2 2 1
Cartesian
-1.092 -3.707 7.962
-3.185 -0.064 4.571
-4.468 -0.635 7.358
0.191 -3.136 5.175
-1.186 -0.740 2.945
-3.091 -3.031 9.589
0.000 0.000 0.000
```

Output
Total magnetization ... 0.000 μB per cell
Symmetry ... No. 166
Energy of formation from the pure elements ... -1.96 eV per formula unit

***

Record 23
The following is a PBE calculation of RePdPt3 after structural relaxation, from Alexandria.

Geometry as POSCAR:
```
RePdPt3
1.0
-2.377 -0.281 4.125
4.101 -0.762 2.311
0.523 4.699 0.621
Pd Pt Re
1 3 1
Cartesian
0.000 0.000 0.000
0.262 2.350 0.311
-1.188 -0.140 2.062
2.050 -0.381 1.156
1.124 1.828 3.529
```

Output
Total magnetization ... 3.952 μB per cell
Symmetry ... No. 221
Offset from the most stable computed form ... 2091.2 meV/atom
Energy of formation from the pure elements ... 10.10 eV per formula unit